Record 1
## Hf3ZrAs (PBE)

Data for Hf3ZrAs after structural relaxation.

Results
E above lowest polymorph = 0 meV/atom
total energy = -8.51 eV per atom
spin magnetization = 0.00 μB per cell

Unit cell a=4.964 b=4.964 c=4.964 alpha=90.00 beta=90.00 gamma=90.00
Positions (direct):
Hf1 0.000 0.000 0.500
Hf2 0.000 0.500 0.000
Hf3 0.500 0.000 0.000
Zr1 0.500 0.500 0.500
As1 0.000 0.000 0.000

Record 2
## ScTa2Sb (PBE)

Data for ScTa2Sb after structural relaxation.

Results
raw formation energy = 0.32 eV per atom
total energy = -8.22 eV per atom
spin magnetization = 0.00 μB per cell

Unit cell a=3.076 b=3.076 c=8.708 alpha=90.00 beta=90.00 gamma=90.00
Positions (direct):
Sc1 0.000 0.000 0.000
Ta1 0.500 0.500 0.256
Ta2 0.500 0.500 0.744
Sb1 0.000 0.000 0.500

Record 3
## TaTi2Tl (PBE)

Data for TaTi2Tl after structural relaxation.

Results
E above lowest polymorph = 0 meV/atom
total energy = -7.50 eV per atom
spin magnetization = 0.00 μB per cell

Unit cell a=3.382 b=3.382 c=6.552 alpha=90.00 beta=90.00 gamma=90.00
Positions (direct):
Ta1 0.000 0.000 0.000
Ti1 0.500 0.500 0.225
Ti2 0.500 0.500 0.775
Tl1 0.000 0.000 0.500

Record 4
## Ag4Se3 (PBE)

Data for Ag4Se3 after structural relaxation.

Results
raw formation energy = 0.05 eV per atom
E above lowest polymorph = 16 meV/atom
total energy = -3.07 eV per atom
spin magnetization = 0.00 μB per cell

Unit cell a=3.062 b=11.979 c=11.979 alpha=120.00 beta=90.02 gamma=90.04
Positions (direct):
Ag1 0.250 0.062 0.199
Ag2 0.250 0.301 0.863
Ag3 0.250 0.637 0.438
Ag4 0.250 0.667 0.833
Ag5 0.750 0.333 0.167
Ag6 0.750 0.363 0.562
Ag7 0.750 0.699 0.137
Ag8 0.750 0.938 0.801
Se1 0.250 0.144 0.948
Se2 0.250 0.305 0.356
Se3 0.250 0.552 0.195
Se4 0.750 0.448 0.805
Se5 0.750 0.695 0.644
Se6 0.750 0.856 0.052

Record 5
## Zr3SiP (PBE)

Data for Zr3SiP after structural relaxation.

Results
raw formation energy = -0.16 eV per atom
E above lowest polymorph = 0 meV/atom
total energy = -7.45 eV per atom
spin magnetization = 0.00 μB per cell

Unit cell a=4.822 b=4.822 c=4.822 alpha=90.00 beta=90.00 gamma=90.00
Positions (direct):
Zr1 0.000 0.000 0.500
Zr2 0.000 0.500 0.000
Zr3 0.500 0.000 0.000
Si1 0.500 0.500 0.500
P1 0.000 0.000 0.000

Record 6
## Sc2VHgAs (PBE)

Data for Sc2VHgAs after structural relaxation.

Results
total energy = -5.25 eV per atom
spin magnetization = 0.00 μB per cell

Unit cell a=4.956 b=4.956 c=4.649 alpha=90.00 beta=90.00 gamma=90.00
Positions (direct):
Sc1 0.000 0.500 0.000
Sc2 0.500 0.000 0.000
V1 0.000 0.000 0.000
Hg1 0.500 0.500 0.500
As1 0.000 0.000 0.500

Repeat the first record exactly.
## Hf3ZrAs (PBE)

Data for Hf3ZrAs after structural relaxation.

Results
E above lowest polymorph = 0 meV/atom
total energy = -8.51 eV per atom
spin magnetization = 0.00 μB per cell

Unit cell a=4.964 b=4.964 c=4.964 alpha=90.00 beta=90.00 gamma=90.00
Positions (direct):
Hf1 0.000 0.000 0.500
Hf2 0.000 0.500 0.000
Hf3 0.500 0.000 0.000
Zr1 0.500 0.500 0.500
As1 0.000 0.000 0.000